# 1
A relaxed structure of NaPr12Tl6, computed with PBE-GGA.

```
19
Lattice="9.318 -1.152 -1.380 -2.551 9.036 -1.380 -2.551 -2.972 8.644" Properties=species:S:1:pos:R:3 pbc="T T T"
Pr -1.857 5.481 5.462
Pr 5.699 5.554 -0.012
Pr 4.513 3.457 2.452
Pr 1.090 4.733 3.839
Pr -0.410 6.081 -0.484
Pr 2.732 1.522 5.343
Pr 4.626 -1.169 6.368
Pr -0.297 1.456 3.433
Pr 3.126 0.179 2.046
Pr 6.073 -0.568 0.422
Pr -1.482 -0.642 5.897
Pr 1.484 3.390 0.542
Tl 1.652 -1.482 4.445
Tl 5.932 0.790 3.705
Tl 2.564 6.395 1.439
Tl -1.716 4.122 2.180
Tl 4.335 2.336 -0.664
Tl -0.118 2.576 6.549
Na 0.000 0.000 0.000
```

## Properties
total moment = 0.001 μB per cell
calculated formation energy = -0.12 eV/atom

# 2
A relaxed structure of NaPr3Tl5, computed with PBE-GGA.

```
18
Lattice="6.674 0.000 0.000 0.000 9.570 0.000 0.000 -4.785 8.288" Properties=species:S:1:pos:R:3 pbc="T T T"
Tl 0.000 0.000 5.525
Tl 0.000 4.785 2.763
Tl 3.337 4.785 2.763
Tl 5.006 2.897 0.000
Tl 5.006 3.337 5.779
Tl 1.669 1.449 2.509
Tl 5.006 -1.449 2.509
Tl 1.669 6.234 5.779
Tl 3.337 0.000 5.525
Tl 1.669 6.673 0.000
Na 3.337 0.000 0.000
Na 0.000 0.000 0.000
Pr 5.006 1.728 2.992
Pr 5.006 6.115 0.000
Pr 1.669 7.843 2.992
Pr 5.006 -3.057 5.296
Pr 1.669 3.057 5.296
Pr 1.669 3.455 0.000
```

## Properties
total moment = 0.000 μB per cell
calculated formation energy = -0.29 eV/atom

# 3
A relaxed structure of NaPr2Tl, computed with PBE-GGA.

```
4
Lattice="-2.067 1.917 4.836 -5.244 1.944 0.228 -3.947 -2.905 2.704" Properties=species:S:1:pos:R:3 pbc="T T T"
Pr -8.443 0.717 5.826
Pr -2.814 0.239 1.942
Na 0.000 0.000 0.000
Tl -5.629 0.478 3.884
```

## Properties
total moment = 0.001 μB per cell
calculated formation energy = -0.11 eV/atom
ΔE to the lowest computed polymorph = 0.00 kcal/mol of atoms

# 4
A relaxed structure of NaPrY2Tl4, computed with PBE-GGA.

```
8
Lattice="5.374 0.000 0.000 2.687 4.654 0.000 2.687 1.551 8.982" Properties=species:S:1:pos:R:3 pbc="T T T"
Tl 5.374 3.103 7.803
Tl 5.374 3.103 1.179
Tl 2.687 1.551 5.570
Tl 8.061 4.654 3.412
Na 5.374 3.103 4.491
Pr 0.000 0.000 0.000
Y 8.061 4.654 6.620
Y 2.687 1.551 2.362
```

## Properties
total moment = 0.000 μB per cell
calculated formation energy = -0.31 eV/atom

# 5
A relaxed structure of NaPrTm, computed with PBE-GGA.

```
6
Lattice="5.651 0.000 0.001 2.826 4.893 0.000 -0.001 0.001 7.223" Properties=species:S:1:pos:R:3 pbc="T T T"
Pr 3.493 3.158 3.785
Pr 3.493 3.158 0.416
Tm 6.319 1.527 2.102
Tm 6.319 4.789 2.099
Na 6.316 4.789 5.709
Na 6.316 1.527 5.716
```

## Properties
total moment = 0.000 μB per cell
calculated formation energy = 0.17 eV/atom
ΔE to the lowest computed polymorph = 0.85 kcal/mol of atoms

# 6
A relaxed structure of NaPrTm, computed with PBE-GGA.

```
3
Lattice="-0.455 -1.715 3.105 3.058 -0.372 -1.817 3.567 7.237 4.520" Properties=species:S:1:pos:R:3 pbc="T T T"
Na 0.017 0.034 0.021
Pr 4.200 3.874 2.755
Tm 1.953 1.241 3.031
```

## Properties
total moment = 0.001 μB per cell
calculated formation energy = 0.13 eV/atom
ΔE to the lowest computed polymorph = 0.00 kcal/mol of atoms

> Which of these has the lowest calculated formation energy?

NaPrY2Tl4